(1)
The following is a DFT calculation (PBE) of crystalline SiMo3Ru at its relaxed geometry.

Calculated values
polymorph energy (0 for the lowest one) = 566 meV per atom
uncorrected formation energy = 1.708 eV/atom
VASP energy = -38.652 eV/cell

Cell lengths 4.665, 4.665, 4.665 Å; angles 90.00, 90.00, 90.00 degrees
Space group Pm-3m (No. 221)
Unique sites:
Si1 0.000 0.000 0.000
Mo1 0.000 0.500 0.500
Ru1 0.500 0.500 0.500


(2)
The following is a DFT calculation (PBE) of crystalline Si2MoRu2 at its relaxed geometry.

Calculated values
uncorrected formation energy = -0.396 eV/atom
VASP energy = -84.423 eV/cell

Cell lengths 6.984, 6.984, 2.793 Å; angles 90.00, 90.00, 90.00 degrees
Space group P4/mbm (No. 127)
Unique sites:
Si1 0.144 0.356 0.000
Mo1 0.000 0.000 0.000
Ru1 0.154 0.654 0.500


(3)
The following is a DFT calculation (PBE) of crystalline SiMo2Ru at its relaxed geometry.

Calculated values
uncorrected formation energy = -0.166 eV/atom
VASP energy = -37.027 eV/cell

Cell lengths 3.112, 4.181, 4.435 Å; angles 90.00, 90.00, 90.00 degrees
Space group Pmmm (No. 47)
Unique sites:
Si1 0.000 0.000 0.000
Mo1 0.000 0.500 0.500
Mo2 0.500 0.000 0.500
Ru1 0.500 0.500 0.000


What did the second record say?
The following is a DFT calculation (PBE) of crystalline Si2MoRu2 at its relaxed geometry.

Calculated values
uncorrected formation energy = -0.396 eV/atom
VASP energy = -84.423 eV/cell

Cell lengths 6.984, 6.984, 2.793 Å; angles 90.00, 90.00, 90.00 degrees
Space group P4/mbm (No. 127)
Unique sites:
Si1 0.144 0.356 0.000
Mo1 0.000 0.000 0.000
Ru1 0.154 0.654 0.500


Among the records above, which one has the lowest VASP energy?
Si2MoRu2